A relaxed structure of Cu7Se5. Source: Alexandria, functional PBE.

Output
The value obtained for the magnetic moment is 0.00 μB/f.u. Its symmetry is I4mm (107). The calculation puts the density of states at the Fermi level at 0.40 states/eV per atom. The total energy is -3.72 eV per atom.

a b c (Å): 6.3886 6.3886 6.3886
angles (deg): 109.21 109.21 110.00
Last column: nearest neighbours and their distance in Å.
Sites, in units of the cell vectors:
Cu1 0.4205 0.4205 0.0000  5 Se 2.39-2.59
Cu2 0.9670 0.4670 0.5000  4 Cu 2.59-2.61, 4 Se 2.62
Cu3 0.4670 0.9670 0.5000  4 Cu 2.59-2.61, 4 Se 2.62
Cu4 0.4677 0.7182 0.7494  4 Se 2.57-2.64, 5 Cu 2.59-2.86
Cu5 0.9688 0.7182 0.2506  4 Se 2.57-2.64, 5 Cu 2.59-2.86
Cu6 0.7182 0.4677 0.7494  4 Se 2.57-2.64, 5 Cu 2.59-2.86
Cu7 0.7182 0.9688 0.2506  4 Se 2.57-2.64, 5 Cu 2.59-2.86
Se1 0.0948 0.0948 0.0000  1 Cu 2.39
Se2 0.7147 0.7147 0.4906  7 Cu 2.57-2.64, 1 Se 2.82
Se3 0.2241 0.2241 0.5094  7 Cu 2.57-2.64, 1 Se 2.82
Se4 0.2241 0.7147 0.0000  7 Cu 2.57-2.64, 1 Se 2.82
Se5 0.7147 0.2241 0.0000  7 Cu 2.57-2.64, 1 Se 2.82